# TaCuTcSn | OQMD | PBE | optimized geometry
data_TaCuTcSn
_chemical_formula_sum 'Ta4 Cu4 Tc4 Sn4'
_space_group_name_H-M_alt 'F -4 3 m'
_space_group_IT_number 216
_space_group_name_Hall 'F -4 2 3'
_cell_length_a 6.402
_cell_length_b 6.402
_cell_length_c 6.402
_cell_angle_alpha 90.00
_cell_angle_beta 90.00
_cell_angle_gamma 90.00
loop_
_atom_site_label
_atom_site_fract_x
_atom_site_fract_y
_atom_site_fract_z
Ta1 0.000 0.000 0.000
Cu1 0.250 0.250 0.750
Tc1 0.250 0.250 0.250
Sn1 0.000 0.000 0.500
# E above lowest polymorph   0.0000 eV per atom
# Magnetic moment   0.001 μB per formula unit



# ZrTaCuSn | OQMD | PBE | optimized geometry
data_ZrTaCuSn
_chemical_formula_sum 'Zr4 Ta4 Cu4 Sn4'
_space_group_name_H-M_alt 'F -4 3 m'
_space_group_IT_number 216
_space_group_name_Hall 'F -4 2 3'
_cell_length_a 6.720
_cell_length_b 6.720
_cell_length_c 6.720
_cell_angle_alpha 90.00
_cell_angle_beta 90.00
_cell_angle_gamma 90.00
loop_
_atom_site_label
_atom_site_fract_x
_atom_site_fract_y
_atom_site_fract_z
Zr1 0.000 0.000 0.000
Ta1 0.250 0.250 0.250
Cu1 0.250 0.250 0.750
Sn1 0.000 0.000 0.500
# E above lowest polymorph   0.0000 eV per atom
# Magnetic moment   0.697 μB per formula unit



# TbCuSn | OQMD | PBE | optimized geometry
data_TbCuSn
_chemical_formula_sum 'Tb2 Cu2 Sn2'
_space_group_name_H-M_alt 'P 63/m m c'
_space_group_IT_number 194
_space_group_name_Hall '-P 6c 2c'
_cell_length_a 5.0747
_cell_length_b 5.0747
_cell_length_c 6.0807
_cell_angle_alpha 90.00
_cell_angle_beta 90.00
_cell_angle_gamma 120.00
loop_
_atom_site_label
_atom_site_fract_x
_atom_site_fract_y
_atom_site_fract_z
Tb1 0.3333 0.6667 0.2500
Cu1 0.0000 0.0000 0.0000
Sn1 0.3333 0.6667 0.7500
# Magnetic moment   0.000 μB per formula unit
# Total energy   -4.3347 eV/atom



# TbCuSn | OQMD | PBE | optimized geometry
data_TbCuSn
_chemical_formula_sum 'Tb2 Cu2 Sn2'
_space_group_name_H-M_alt 'P 63 m c'
_space_group_IT_number 186
_space_group_name_Hall 'P 6c -2c'
_cell_length_a 4.5412
_cell_length_b 4.5412
_cell_length_c 7.3167
_cell_angle_alpha 90.00
_cell_angle_beta 90.00
_cell_angle_gamma 120.00
loop_
_atom_site_label
_atom_site_fract_x
_atom_site_fract_y
_atom_site_fract_z
Tb1 0.0000 0.0000 0.0000
Cu1 0.3333 0.6667 0.1792
Sn1 0.3333 0.6667 0.7691
# Magnetic moment   0.000 μB per formula unit
# Total energy   -4.7260 eV/atom